Entry 1:
{
  "formula": "TmPa2N4",
  "functional": "PBE",
  "state": "relaxed",
  "lattice_angstrom": [[-0.9916, -3.1771, 1.0518], [5.1566, -0.5947, 3.0651], [-4.1410, 3.9720, 2.3022]],
  "species": ["Tm", "Pa", "Pa", "N", "N", "N", "N"],
  "fractional_positions": [[0.0000, 0.0000, 0.0000], [0.3009, 0.3001, 0.6018], [0.6991, 0.6999, 0.3982], [0.1429, 0.4307, 0.2859], [0.8571, 0.5693, 0.7141], [0.3497, 0.9851, 0.6994], [0.6503, 0.0149, 0.3006]]
}

***

Entry 2:
{
  "formula": "Tm4PaN5",
  "functional": "PBE",
  "state": "relaxed",
  "lattice_angstrom": [[4.3626, 0.0000, 2.1042], [2.1813, 5.4070, 1.0521], [-0.1677, 0.0000, 5.9222]],
  "species": ["Tm", "Tm", "Tm", "Tm", "Pa", "N", "N", "N", "N", "N"],
  "fractional_positions": [[0.4021, 0.4020, 0.7959], [0.8041, 0.7959, 0.5980], [0.1980, 0.2041, 0.4020], [0.6000, 0.5980, 0.2041], [0.0010, 0.0000, 0.0000], [0.9053, 0.3887, 0.8027], [0.2940, 0.8027, 0.6113], [0.7080, 0.1973, 0.3887], [0.0967, 0.6113, 0.1973], [0.5011, 0.0000, 0.0000]]
}

***

no.,size of the total moment (μB/cell),final energy (eV per atom)
1,0.00,-9.6230
2,0.00,-8.6965